First-principles (PBE) data for a relaxed structure of Pu2BeGePt6, as listed in Alexandria via LeMat-Bulk.

Unit cell a=9.1241 b=9.1241 c=9.1241 alpha=90.00 beta=90.00 gamma=90.00
Space group Fm-3m (No. 225)
One atom of each set of equivalent atoms:
Pu (0.2500, 0.2500, 0.2500)
Be (0.0000, 0.0000, 0.0000)
Ge (0.0000, 0.0000, 0.5000)
Pt (0.0000, 0.0000, 0.2360)

Properties
calculated volume = 18.99 A^3/atom
DFT formation energy = -0.401 eV/atom

=====

First-principles (PBE) data for a relaxed structure of Sm2Be4GePt3, as listed in Alexandria via LeMat-Bulk.

Unit cell a=4.0308 b=4.0308 c=9.7885 alpha=90.00 beta=90.00 gamma=90.00
Space group P-4m2 (No. 115)
One atom of each set of equivalent atoms:
Sm (0.0000, 0.5000, 0.2494)
Be (0.0000, 0.0000, 0.0000)
Be (0.0000, 0.5000, 0.6374)
Be (0.5000, 0.5000, 0.0000)
Ge (0.0000, 0.0000, 0.5000)
Pt (0.0000, 0.5000, 0.8824)
Pt (0.5000, 0.5000, 0.5000)

Properties
calculated volume = 15.90 A^3/atom
DFT formation energy = -0.733 eV/atom

=====

First-principles (PBE) data for a relaxed structure of Sm2BeGe4Pt3, as listed in Alexandria via LeMat-Bulk.

Unit cell a=4.1858 b=4.1858 c=10.6248 alpha=90.00 beta=90.00 gamma=90.00
Space group P-4m2 (No. 115)
One atom of each set of equivalent atoms:
Sm (0.0000, 0.5000, 0.2398)
Be (0.5000, 0.5000, 0.0000)
Ge (0.0000, 0.0000, 0.5000)
Ge (0.0000, 0.5000, 0.8690)
Ge (0.5000, 0.5000, 0.5000)
Pt (0.0000, 0.0000, 0.0000)
Pt (0.0000, 0.5000, 0.6353)

Properties
calculated volume = 18.62 A^3/atom
DFT formation energy = -0.797 eV/atom

=====

First-principles (PBE) data for a relaxed structure of Sm2Be3Ge4Pt, as listed in Alexandria via LeMat-Bulk.

Unit cell a=4.0944 b=4.0944 c=10.0228 alpha=90.00 beta=90.00 gamma=90.00
Space group P-4m2 (No. 115)
One atom of each set of equivalent atoms:
Sm (0.0000, 0.5000, 0.2500)
Be (0.0000, 0.0000, 0.0000)
Be (0.0000, 0.5000, 0.6298)
Ge (0.0000, 0.0000, 0.5000)
Ge (0.0000, 0.5000, 0.8560)
Ge (0.5000, 0.5000, 0.5000)
Pt (0.5000, 0.5000, 0.0000)

Properties
calculated volume = 16.80 A^3/atom
DFT formation energy = -0.509 eV/atom

=====

First-principles (PBE) data for a relaxed structure of Sm3Be2GePt9, as listed in Alexandria via LeMat-Bulk.

Unit cell a=5.8245 b=5.8245 c=9.3310 alpha=90.00 beta=90.00 gamma=120.00
Space group P-3m1 (No. 164)
One atom of each set of equivalent atoms:
Sm (0.0000, 0.0000, 0.0000)
Sm (0.3333, 0.6667, 0.6168)
Be (0.3333, 0.6667, 0.1505)
Ge (0.0000, 0.0000, 0.5000)
Pt (0.0000, 0.5000, 0.0000)
Pt (0.1645, 0.3289, 0.2986)

Properties
calculated volume = 18.28 A^3/atom
DFT formation energy = -0.813 eV/atom

=====

First-principles (PBE) data for a relaxed structure of Sr2BeGePt6, as listed in Alexandria via LeMat-Bulk.

Unit cell a=10.6809 b=6.1760 c=6.9197 alpha=90.00 beta=120.75 gamma=90.00
Space group C2/m (No. 12)
One atom of each set of equivalent atoms:
Sr (0.2188, 0.0000, 0.1559)
Be (0.0000, 0.0000, 0.5000)
Ge (0.0000, 0.5000, 0.0000)
Pt (0.0355, 0.2767, 0.3292)
Pt (0.2412, 0.0000, 0.6715)

Properties
calculated volume = 19.61 A^3/atom
DFT formation energy = -0.666 eV/atom

=====

- Which of these has the lowest DFT formation energy?
  Sm3Be2GePt9